# 1
Below is a relaxed Cd2FeW crystal, with properties calculated at the PBE-GGA level.

Geometry as CIF:
```
data_Cd2FeW
_chemical_formula_sum 'Cd2 Fe1 W1'
_cell_length_a 5.275
_cell_length_b 5.275
_cell_length_c 2.729
_cell_angle_alpha 90.00
_cell_angle_beta 90.00
_cell_angle_gamma 115.43
_symmetry_space_group_name_H-M 'P 1'
_symmetry_Int_Tables_number 1
loop_
_symmetry_equiv_pos_as_xyz
'x,y,z'
loop_
_atom_site_label
_atom_site_type_symbol
_atom_site_fract_x
_atom_site_fract_y
_atom_site_fract_z
_atom_site_occupancy
Cd1 Cd 0.000 0.500 0.000 1
Cd2 Cd 0.500 0.000 0.000 1
Fe1 Fe 0.000 0.000 0.500 1
W1 W 0.500 0.500 0.500 1
```

Density of states at the Fermi level: 0.367 states/eV per atom
Energy above the lowest structure with this stoichiometry: 294 meV/atom
Magnetization: 0.72 μB per atom

---

# 2
Below is a relaxed Cd2FeW crystal, with properties calculated at the PBE-GGA level.

Geometry as CIF:
```
data_Cd2FeW
_chemical_formula_sum 'Cd2 Fe1 W1'
_cell_length_a 4.765
_cell_length_b 4.765
_cell_length_c 5.335
_cell_angle_alpha 99.72
_cell_angle_beta 99.72
_cell_angle_gamma 35.22
_symmetry_space_group_name_H-M 'P 1'
_symmetry_Int_Tables_number 1
loop_
_symmetry_equiv_pos_as_xyz
'x,y,z'
loop_
_atom_site_label
_atom_site_type_symbol
_atom_site_fract_x
_atom_site_fract_y
_atom_site_fract_z
_atom_site_occupancy
Cd1 Cd 0.000 0.000 0.000 1
Cd2 Cd 0.238 0.238 0.753 1
Fe1 Fe 0.489 0.489 0.450 1
W1 W 0.761 0.761 0.292 1
```

Density of states at the Fermi level: 0.533 states/eV per atom
Energy above the lowest structure with this stoichiometry: 280 meV/atom
Magnetization: 0.44 μB per atom

---

# 3
Below is a relaxed Cd2FeW crystal, with properties calculated at the PBE-GGA level.

Geometry as CIF:
```
data_Cd2FeW
_chemical_formula_sum 'Cd2 Fe1 W1'
_cell_length_a 5.622
_cell_length_b 5.622
_cell_length_c 4.675
_cell_angle_alpha 114.47
_cell_angle_beta 114.47
_cell_angle_gamma 30.37
_symmetry_space_group_name_H-M 'P 1'
_symmetry_Int_Tables_number 1
loop_
_symmetry_equiv_pos_as_xyz
'x,y,z'
loop_
_atom_site_label
_atom_site_type_symbol
_atom_site_fract_x
_atom_site_fract_y
_atom_site_fract_z
_atom_site_occupancy
Cd1 Cd 0.233 0.233 0.233 1
Cd2 Cd 0.767 0.767 0.767 1
Fe1 Fe 0.500 0.500 0.000 1
W1 W 0.000 0.000 0.500 1
```

Density of states at the Fermi level: 0.666 states/eV per atom
Energy above the lowest structure with this stoichiometry: 341 meV/atom
Magnetization: 0.48 μB per atom

---

> Look up the magnetization of the second one.

0.44 μB per atom

---

> Look up the magnetization of the third one.

0.48 μB per atom

---

> Number 1 is which compound?

Cd2FeW

---

> The lowest magnetization belongs to which entry?

number 2